Here is a relaxed structure of AgMoPtF2 from Alexandria via LeMat-Bulk. Energies are from PBE+U.

Properties
The calculation puts the electronic total energy at -19.36 eV per formula unit.

The structure in POSCAR format:
```
AgMoPtF2
1.0
-3.967 0.560 -0.224
-0.399 -0.142 6.701
0.554 3.972 0.117
F Mo Ag Pt
2 1 1 1
direct
0.500 0.000 0.000 F
0.000 0.000 0.500 F
0.000 0.500 0.000 Mo
0.000 0.000 0.000 Ag
0.500 0.500 0.500 Pt
```